# 1
The following is a PBE calculation of SiW3Br after structural relaxation, from the Alexandria database.

Structure (POSCAR):
```
SiW3Br
1.0
-4.573 -0.443 0.072
0.191 -2.589 -3.792
0.406 -3.771 2.595
Si Br W
1 1 3
Direct
0.000 0.000 0.000
0.500 0.500 0.500
0.000 0.500 0.000
0.000 0.000 0.500
0.500 0.000 0.000
```

Results
E_form (uncorrected) in meV/atom: 1849
V in A^3/atom: 19.41
Magnetization in μB/cell: 0.0
Calculated density in g cm⁻³: 11.29

***

# 2
The following is a PBE calculation of SiW2Br after structural relaxation, from the Alexandria database.

Structure (POSCAR):
```
SiW2Br
1.0
4.808 0.000 0.000
1.262 4.640 0.000
-3.035 -2.320 2.920
Br Si W
1 1 2
Direct
0.500 0.500 0.000
0.750 0.250 0.500
0.000 0.000 0.000
0.250 0.750 0.500
```

Results
E_form (uncorrected) in meV/atom: 994
V in A^3/atom: 16.29
Magnetization in μB/cell: 0.0
Calculated density in g cm⁻³: 12.13